## AcTb2Ho (GGA-PBE)

Data for a relaxed AcTb2Ho crystal.

Cell lengths 12.0161, 12.0161, 12.0161 Å; angles 17.63, 17.63, 17.63 degrees
Last column: nearest neighbours and their distance in Å.
Fractional positions:
Ac (0.0000, 0.0000, 0.0000)  6 Ac 3.68, 6 Tb 3.75-3.77
Tb (0.5788, 0.5788, 0.5788)  3 Ho 3.53, 6 Tb 3.68, 3 Ac 3.77
Tb (0.7538, 0.7538, 0.7538)  3 Ho 3.52, 6 Tb 3.68, 3 Ac 3.75
Ho (0.1661, 0.1661, 0.1661)  6 Tb 3.52-3.53, 6 Ho 3.68

Total DFT energy (no corrections) (eV per atom): -4.424
Offset from the most stable computed form (eV/atom): 0.007
Space group: R3m (160)
Crystal system: trigonal
Formation energy (eV/atom): 0.06

## Ac2Tb2Ho (GGA-PBE)

Data for a relaxed Ac2Tb2Ho crystal.

Cell lengths 8.8109, 8.8109, 7.0983 Å; angles 103.40, 103.40, 43.87 degrees
Last column: nearest neighbours and their distance in Å.
Fractional positions:
Ac (0.1082, 0.2845, 0.1534)  2 Ho 3.64-3.73, 5 Tb 3.70-3.87, 5 Ac 3.73-3.82
Ac (0.2845, 0.1082, 0.6534)  2 Ho 3.64-3.73, 5 Tb 3.70-3.87, 5 Ac 3.73-3.82
Ac (0.7155, 0.8918, 0.3466)  2 Ho 3.64-3.73, 5 Tb 3.70-3.87, 5 Ac 3.73-3.82
Ac (0.8918, 0.7155, 0.8466)  2 Ho 3.64-3.73, 5 Tb 3.70-3.87, 5 Ac 3.73-3.82
Tb (0.3234, 0.4902, 0.5512)  4 Tb 3.48-3.72, 3 Ho 3.62-3.79, 5 Ac 3.70-3.87
Tb (0.4902, 0.3234, 0.0512)  4 Tb 3.48-3.72, 3 Ho 3.62-3.79, 5 Ac 3.70-3.87
Tb (0.5098, 0.6766, 0.9488)  4 Tb 3.48-3.72, 3 Ho 3.62-3.79, 5 Ac 3.70-3.87
Tb (0.6766, 0.5098, 0.4488)  4 Tb 3.48-3.72, 3 Ho 3.62-3.79, 5 Ac 3.70-3.87
Ho (0.0907, 0.9093, 0.2500)  6 Tb 3.62-3.79, 4 Ac 3.64-3.73, 2 Ho 3.74
Ho (0.9093, 0.0907, 0.7500)  6 Tb 3.62-3.79, 4 Ac 3.64-3.73, 2 Ho 3.74

Total DFT energy (no corrections) (eV per atom): -4.343
Offset from the most stable computed form (eV/atom): 0.000
Space group: C2/c (15)
Crystal system: monoclinic
Formation energy (eV/atom): 0.07

## Ac2TbHo (GGA-PBE)

Data for a relaxed Ac2TbHo crystal.

Cell lengths 12.2625, 12.2625, 12.2625 Å; angles 17.81, 17.81, 17.81 degrees
Last column: nearest neighbours and their distance in Å.
Fractional positions:
Ac (0.0000, 0.0000, 0.0000)  3 Ho 3.73, 3 Tb 3.78, 6 Ac 3.80
Ac (0.1655, 0.1655, 0.1655)  3 Ho 3.69, 3 Tb 3.71, 6 Ac 3.80
Tb (0.5815, 0.5815, 0.5815)  6 Ac 3.71-3.78, 6 Tb 3.80
Ho (0.7501, 0.7501, 0.7501)  6 Ac 3.69-3.73, 6 Ho 3.80

Total DFT energy (no corrections) (eV per atom): -4.282
Offset from the most stable computed form (eV/atom): 0.026
Space group: R3m (160)
Crystal system: trigonal
Formation energy (eV/atom): 0.07

## Ac2Tb3Ho (GGA-PBE)

Data for a relaxed Ac2Tb3Ho crystal.

Cell lengths 5.2456, 8.2660, 11.0886 Å; angles 72.43, 76.33, 71.55 degrees
Last column: nearest neighbours and their distance in Å.
Fractional positions:
Ac (0.0348, 0.2962, 0.1345)  4 Tb 3.65-3.75, 4 Ho 3.65-3.84, 4 Ac 3.75-3.84
Ac (0.2909, 0.0515, 0.8664)  4 Tb 3.65-3.79, 3 Ho 3.67-3.86, 5 Ac 3.78-3.84
Ac (0.7091, 0.9485, 0.1336)  4 Tb 3.65-3.79, 3 Ho 3.67-3.86, 5 Ac 3.78-3.84
Ac (0.9652, 0.7038, 0.8655)  4 Tb 3.65-3.75, 4 Ho 3.65-3.84, 4 Ac 3.75-3.84
Tb (0.1238, 0.8684, 0.3843)  8 Tb 3.54-3.75, 1 Ho 3.69, 3 Ac 3.71-3.75
Tb (0.2108, 0.4612, 0.6170)  8 Tb 3.53-3.69, 2 Ac 3.65, 2 Ho 3.69
Tb (0.4520, 0.2090, 0.3867)  8 Tb 3.53-3.75, 1 Ho 3.67, 3 Ac 3.72-3.79
Tb (0.5480, 0.7910, 0.6133)  8 Tb 3.53-3.75, 1 Ho 3.67, 3 Ac 3.72-3.79
Tb (0.7892, 0.5388, 0.3830)  8 Tb 3.53-3.69, 2 Ac 3.65, 2 Ho 3.69
Tb (0.8762, 0.1316, 0.6157)  8 Tb 3.54-3.75, 1 Ho 3.69, 3 Ac 3.71-3.75
Ho (0.3723, 0.6209, 0.1344)  7 Ac 3.65-3.86, 4 Tb 3.67-3.69, 1 Ho 3.83
Ho (0.6277, 0.3791, 0.8656)  7 Ac 3.65-3.86, 4 Tb 3.67-3.69, 1 Ho 3.83

Total DFT energy (no corrections) (eV per atom): -4.391
Space group: P-1 (2)
Crystal system: triclinic
Formation energy (eV/atom): 0.06

## Ac2Tb3Ho8 (GGA-PBE)

Data for a relaxed Ac2Tb3Ho8 crystal.

Cell lengths 11.5049, 11.5049, 5.4637 Å; angles 90.01, 90.01, 39.39 degrees
Last column: nearest neighbours and their distance in Å.
Fractional positions:
Ac (0.2393, 0.2393, 0.4994)  8 Ho 3.61-3.80, 2 Ac 3.91
Ac (0.7607, 0.7607, 0.5006)  8 Ho 3.61-3.80, 2 Ac 3.91
Tb (0.0000, 0.0000, 0.5000)  4 Ho 3.15
Tb (0.2938, 0.7062, 0.0000)  3 Tb 3.20-3.56, 6 Ho 3.43-3.52
Tb (0.7062, 0.2938, 0.0000)  3 Tb 3.20-3.56, 6 Ho 3.43-3.52
Ho (0.1181, 0.1181, 0.9999)  4 Tb 3.43-3.74, 4 Ho 3.54, 2 Ac 3.79
Ho (0.1847, 0.6100, 0.4999)  3 Tb 3.15-3.52, 3 Ho 3.30-3.36
Ho (0.3483, 0.3483, 0.9997)  4 Ho 3.36, 2 Ac 3.61, 2 Tb 3.65
Ho (0.3900, 0.8153, 0.5001)  3 Tb 3.15-3.52, 3 Ho 3.30-3.36
Ho (0.6100, 0.1847, 0.4999)  3 Tb 3.15-3.52, 3 Ho 3.30-3.36
Ho (0.6517, 0.6517, 0.0003)  4 Ho 3.36, 2 Ac 3.61, 2 Tb 3.65
Ho (0.8153, 0.3900, 0.5001)  3 Tb 3.15-3.52, 3 Ho 3.30-3.36
Ho (0.8819, 0.8819, 0.0001)  4 Tb 3.43-3.74, 4 Ho 3.54, 2 Ac 3.79

Total DFT energy (no corrections) (eV per atom): -4.275
Space group: C2/m (12)
Crystal system: monoclinic
Formation energy (eV/atom): 0.24

## AcTb2Ho3 (GGA-PBE)

Data for a relaxed AcTb2Ho3 crystal.

Cell lengths 6.7472, 6.7472, 9.0364 Å; angles 98.12, 98.12, 94.89 degrees
Last column: nearest neighbours and their distance in Å.
Fractional positions:
Ac (0.0779, 0.9221, 0.7500)  5 Ho 3.40-3.59, 6 Tb 3.75-3.79
Ac (0.9221, 0.0779, 0.2500)  5 Ho 3.40-3.59, 6 Tb 3.75-3.79
Tb (0.1310, 0.6205, 0.3737)  2 Tb 3.50-3.56, 9 Ho 3.59-3.88, 3 Ac 3.75-3.79
Tb (0.3795, 0.8690, 0.1263)  2 Tb 3.50-3.56, 9 Ho 3.59-3.88, 3 Ac 3.75-3.79
Tb (0.6205, 0.1310, 0.8737)  2 Tb 3.50-3.56, 9 Ho 3.59-3.88, 3 Ac 3.75-3.79
Tb (0.8690, 0.3795, 0.6263)  2 Tb 3.50-3.56, 9 Ho 3.59-3.88, 3 Ac 3.75-3.79
Ho (0.1751, 0.3526, 0.0054)  3 Ho 3.22-3.47, 2 Ac 3.40-3.59, 1 Tb 3.59
Ho (0.3526, 0.1751, 0.5054)  3 Ho 3.22-3.47, 2 Ac 3.40-3.59, 1 Tb 3.59
Ho (0.4199, 0.5801, 0.7500)  4 Ho 3.22-3.47, 1 Ac 3.40
Ho (0.5801, 0.4199, 0.2500)  4 Ho 3.22-3.47, 1 Ac 3.40
Ho (0.6474, 0.8249, 0.4946)  3 Ho 3.22-3.47, 2 Ac 3.40-3.59, 1 Tb 3.59
Ho (0.8249, 0.6474, 0.9946)  3 Ho 3.22-3.47, 2 Ac 3.40-3.59, 1 Tb 3.59

Total DFT energy (no corrections) (eV per atom): -4.411
Offset from the most stable computed form (eV/atom): 0.000
Space group: C2/c (15)
Crystal system: monoclinic
Formation energy (eV/atom): 0.11

## AcTb2Ho2 (GGA-PBE)

Data for a relaxed AcTb2Ho2 crystal.

Cell lengths 14.5602, 11.8073, 8.8899 Å; angles 88.24, 54.15, 37.61 degrees
Last column: nearest neighbours and their distance in Å.
Fractional positions:
Ac (0.1250, 0.1250, 0.1250)  4 Tb 3.49, 2 Ac 3.59, 4 Ho 3.67
Ac (0.8750, 0.8750, 0.8750)  4 Tb 3.49, 2 Ac 3.59, 4 Ho 3.67
Tb (0.2030, 0.5470, 0.2030)  4 Tb 3.26-3.59, 2 Ho 3.32, 2 Ac 3.49
Tb (0.4530, 0.7970, 0.4530)  4 Tb 3.26-3.59, 2 Ho 3.32, 2 Ac 3.49
Tb (0.5470, 0.2030, 0.5470)  4 Tb 3.26-3.59, 2 Ho 3.32, 2 Ac 3.49
Tb (0.7970, 0.4530, 0.7970)  4 Tb 3.26-3.59, 2 Ho 3.32, 2 Ac 3.49
Ho (0.0000, 0.0000, 0.0000)  2 Tb 3.32, 2 Ho 3.59, 2 Ac 3.67
Ho (0.0000, 0.0000, 0.5000)  2 Tb 3.32, 2 Ho 3.59, 2 Ac 3.67
Ho (0.0000, 0.5000, 0.0000)  2 Tb 3.32, 2 Ho 3.59, 2 Ac 3.67
Ho (0.5000, 0.0000, 0.0000)  2 Tb 3.32, 2 Ho 3.59, 2 Ac 3.67

Total DFT energy (no corrections) (eV per atom): -4.079
Offset from the most stable computed form (eV/atom): 0.271
Space group: Fddd (70)
Crystal system: orthorhombic
Formation energy (eV/atom): 0.43

## AcTb6Ho3 (GGA-PBE)

Data for a relaxed AcTb6Ho3 crystal.

Cell lengths 9.1032, 9.1032, 8.9967 Å; angles 90.00, 90.00, 116.48 degrees
Last column: nearest neighbours and their distance in Å.
Fractional positions:
Ac (0.2211, 0.7789, 0.5000)  6 Tb 3.44-3.62, 1 Ho 3.66
Ac (0.7789, 0.2211, 0.0000)  6 Tb 3.44-3.62, 1 Ho 3.66
Tb (0.0481, 0.9519, 0.2609)  4 Tb 3.36-3.45, 1 Ac 3.44, 2 Ho 3.63
Tb (0.1768, 0.4695, 0.7560)  4 Tb 3.33-3.57, 3 Ho 3.39-3.70, 1 Ac 3.52
Tb (0.2000, 0.3157, 0.0855)  4 Ho 3.32-3.62, 4 Tb 3.33-3.57, 1 Ac 3.62
Tb (0.2838, 0.7161, 0.1250)  3 Ho 3.36-3.53, 2 Tb 3.39, 1 Ac 3.51
Tb (0.3157, 0.2000, 0.5855)  4 Ho 3.32-3.62, 4 Tb 3.33-3.57, 1 Ac 3.62
Tb (0.4695, 0.1768, 0.2560)  4 Tb 3.33-3.57, 3 Ho 3.39-3.70, 1 Ac 3.52
Tb (0.5305, 0.8232, 0.7560)  4 Tb 3.33-3.57, 3 Ho 3.39-3.70, 1 Ac 3.52
Tb (0.6843, 0.8000, 0.0855)  4 Ho 3.32-3.62, 4 Tb 3.33-3.57, 1 Ac 3.62
Tb (0.7161, 0.2838, 0.6250)  3 Ho 3.36-3.53, 2 Tb 3.39, 1 Ac 3.51
Tb (0.8000, 0.6843, 0.5855)  4 Ho 3.32-3.62, 4 Tb 3.33-3.57, 1 Ac 3.62
Tb (0.8232, 0.5305, 0.2560)  4 Tb 3.33-3.57, 3 Ho 3.39-3.70, 1 Ac 3.52
Tb (0.9519, 0.0481, 0.7609)  4 Tb 3.36-3.45, 1 Ac 3.44, 2 Ho 3.63
Ho (0.0325, 0.3136, 0.4143)  2 Ho 3.32-3.44, 6 Tb 3.32-3.63
Ho (0.3136, 0.0325, 0.9143)  2 Ho 3.32-3.44, 6 Tb 3.32-3.63
Ho (0.4497, 0.5503, 0.3943)  7 Tb 3.34-3.70, 2 Ho 3.44, 1 Ac 3.66
Ho (0.5503, 0.4497, 0.8943)  7 Tb 3.34-3.70, 2 Ho 3.44, 1 Ac 3.66
Ho (0.6864, 0.9675, 0.4143)  2 Ho 3.32-3.44, 6 Tb 3.32-3.63
Ho (0.9675, 0.6864, 0.9143)  2 Ho 3.32-3.44, 6 Tb 3.32-3.63

Total DFT energy (no corrections) (eV per atom): -4.420
Offset from the most stable computed form (eV/atom): 0.000
Space group: Cmc2_1 (36)
Crystal system: orthorhombic
Formation energy (eV/atom): 0.14

## AcTb3Ho12 (GGA-PBE)

Data for a relaxed AcTb3Ho12 crystal.

Cell lengths 5.0296, 5.0296, 20.1423 Å; angles 90.00, 90.00, 90.00 degrees
Last column: nearest neighbours and their distance in Å.
Fractional positions:
Ac (0.0000, 0.0000, 0.0000)  12 Ho 3.56-3.64
Tb (0.0000, 0.0000, 0.2528)  12 Ho 3.51-3.56
Tb (0.0000, 0.0000, 0.5000)  12 Ho 3.53-3.56
Tb (0.0000, 0.0000, 0.7472)  12 Ho 3.51-3.56
Ho (0.0000, 0.5000, 0.1309)  2 Tb 3.51, 8 Ho 3.53-3.64, 2 Ac 3.64
Ho (0.0000, 0.5000, 0.3768)  8 Ho 3.53-3.56, 4 Tb 3.53-3.54
Ho (0.0000, 0.5000, 0.6232)  8 Ho 3.53-3.56, 4 Tb 3.53-3.54
Ho (0.0000, 0.5000, 0.8691)  2 Tb 3.51, 8 Ho 3.53-3.64, 2 Ac 3.64
Ho (0.5000, 0.0000, 0.1309)  2 Tb 3.51, 8 Ho 3.53-3.64, 2 Ac 3.64
Ho (0.5000, 0.0000, 0.3768)  8 Ho 3.53-3.56, 4 Tb 3.53-3.54
Ho (0.5000, 0.0000, 0.6232)  8 Ho 3.53-3.56, 4 Tb 3.53-3.54
Ho (0.5000, 0.0000, 0.8691)  2 Tb 3.51, 8 Ho 3.53-3.64, 2 Ac 3.64
Ho (0.5000, 0.5000, 0.0000)  4 Ac 3.56, 8 Ho 3.64
Ho (0.5000, 0.5000, 0.2540)  8 Ho 3.53, 4 Tb 3.56
Ho (0.5000, 0.5000, 0.5000)  8 Ho 3.53, 4 Tb 3.56
Ho (0.5000, 0.5000, 0.7460)  8 Ho 3.53, 4 Tb 3.56

Total DFT energy (no corrections) (eV per atom): -4.526
Space group: P4/mmm (123)
Crystal system: tetragonal
Formation energy (eV/atom): 0.03

## AcTb3Ho (GGA-PBE)

Data for a relaxed AcTb3Ho crystal.

Cell lengths 10.5375, 5.9450, 5.9450 Å; angles 107.75, 90.00, 90.00 degrees
Last column: nearest neighbours and their distance in Å.
Fractional positions:
Ac (0.2500, 0.1856, 0.8144)  5 Tb 3.31-3.59
Ac (0.7500, 0.8144, 0.1856)  5 Tb 3.31-3.59
Tb (0.0657, 0.0393, 0.3329)  2 Tb 3.14-3.49, 1 Ac 3.35, 1 Ho 3.47
Tb (0.2500, 0.5593, 0.3565)  1 Ac 3.31, 2 Ho 3.33, 4 Tb 3.49-3.62
Tb (0.4343, 0.0393, 0.3329)  2 Tb 3.14-3.49, 1 Ac 3.35, 1 Ho 3.47
Tb (0.5657, 0.3329, 0.0393)  2 Tb 3.14-3.49, 1 Ac 3.35, 1 Ho 3.47
Tb (0.7500, 0.3565, 0.5593)  1 Ac 3.31, 2 Ho 3.33, 4 Tb 3.49-3.62
Tb (0.9343, 0.3329, 0.0393)  2 Tb 3.14-3.49, 1 Ac 3.35, 1 Ho 3.47
Ho (0.0000, 0.7139, 0.7139)  6 Tb 3.33-3.66
Ho (0.5000, 0.7139, 0.7139)  6 Tb 3.33-3.66

Total DFT energy (no corrections) (eV per atom): -4.258
Offset from the most stable computed form (eV/atom): 0.102
Space group: Ama2 (40)
Crystal system: orthorhombic
Formation energy (eV/atom): 0.26

## Ac2Tb3Ho3 (GGA-PBE)

Data for a relaxed Ac2Tb3Ho3 crystal.

Cell lengths 8.9430, 8.9430, 17.5189 Å; angles 90.00, 90.00, 155.85 degrees
Last column: nearest neighbours and their distance in Å.
Fractional positions:
Ac (0.2485, 0.7515, 0.6052)  4 Tb 3.43-3.76, 2 Ac 3.74
Ac (0.2485, 0.7515, 0.8948)  4 Tb 3.43-3.76, 2 Ac 3.74
Ac (0.7515, 0.2485, 0.1052)  4 Tb 3.43-3.76, 2 Ac 3.74
Ac (0.7515, 0.2485, 0.3948)  4 Tb 3.43-3.76, 2 Ac 3.74
Tb (0.0913, 0.9087, 0.0410)  5 Ho 3.31-3.66, 1 Tb 3.50, 2 Ac 3.55
Tb (0.0913, 0.9087, 0.4590)  5 Ho 3.31-3.66, 1 Tb 3.50, 2 Ac 3.55
Tb (0.1168, 0.8832, 0.7500)  5 Ho 3.23-3.57, 2 Ac 3.43
Tb (0.8832, 0.1168, 0.2500)  5 Ho 3.23-3.57, 2 Ac 3.43
Tb (0.9087, 0.0913, 0.5410)  5 Ho 3.31-3.66, 1 Tb 3.50, 2 Ac 3.55
Tb (0.9087, 0.0913, 0.9590)  5 Ho 3.31-3.66, 1 Tb 3.50, 2 Ac 3.55
Ho (0.0871, 0.9129, 0.2500)  3 Tb 3.57-3.66, 6 Ho 3.74-3.77
Ho (0.4552, 0.5448, 0.1179)  6 Tb 3.23-3.45
Ho (0.4552, 0.5448, 0.3821)  6 Tb 3.23-3.45
Ho (0.5448, 0.4552, 0.6179)  6 Tb 3.23-3.45
Ho (0.5448, 0.4552, 0.8821)  6 Tb 3.23-3.45
Ho (0.9129, 0.0871, 0.7500)  3 Tb 3.57-3.66, 6 Ho 3.74-3.77

Total DFT energy (no corrections) (eV per atom): -4.317
Space group: Cmcm (63)
Crystal system: orthorhombic
Formation energy (eV/atom): 0.16

## Ac8TbHo2 (GGA-PBE)

Data for a relaxed Ac8TbHo2 crystal.

Cell lengths 10.0800, 10.0800, 10.0800 Å; angles 145.77, 125.96, 65.54 degrees
Last column: nearest neighbours and their distance in Å.
Fractional positions:
Ac (0.1483, 0.3555, 0.7928)  1 Tb 3.63, 3 Ho 3.65-3.75, 6 Ac 3.79-4.01
Ac (0.1578, 0.1578, 0.0000)  2 Ho 3.82, 8 Ac 3.83-4.01, 2 Tb 3.99
Ac (0.2998, 0.0000, 0.2998)  7 Ac 3.67-3.85, 2 Ho 3.86, 2 Tb 4.04
Ac (0.4374, 0.6445, 0.7928)  1 Tb 3.63, 3 Ho 3.65-3.75, 6 Ac 3.79-4.01
Ac (0.5626, 0.3555, 0.2072)  1 Tb 3.63, 3 Ho 3.65-3.75, 6 Ac 3.79-4.01
Ac (0.7002, 0.0000, 0.7002)  7 Ac 3.67-3.85, 2 Ho 3.86, 2 Tb 4.04
Ac (0.8422, 0.8422, 0.0000)  2 Ho 3.82, 8 Ac 3.83-4.01, 2 Tb 3.99
Ac (0.8517, 0.6445, 0.2072)  1 Tb 3.63, 3 Ho 3.65-3.75, 6 Ac 3.79-4.01
Tb (0.0000, 0.5000, 0.5000)  12 Ac 3.63-4.04
Ho (0.2995, 0.7995, 0.5000)  10 Ac 3.65-3.86
Ho (0.7005, 0.2005, 0.5000)  10 Ac 3.65-3.86

Total DFT energy (no corrections) (eV per atom): -4.104
Space group: Immm (71)
Crystal system: orthorhombic
Formation energy (eV/atom): 0.14